DFT (PBE+U) results for a relaxed structure of SbW3O.

Calculated values
Magnetization   14.581 μB per formula unit
Density of states at the Fermi level   11.9 states/eV per cell
Energy relative to the lowest polymorph listed for this composition   8.93 eV per formula unit

The structure in POSCAR format:
```
SbW3O
1.0
5.4956 0.0000 0.0000
0.0000 5.4956 0.0000
0.0000 0.0000 5.4956
Sb O W
1 1 3
direct
0.0000 0.0000 0.0000
0.5000 0.5000 0.5000
0.0000 0.5000 0.0000
0.0000 0.0000 0.5000
0.5000 0.0000 0.0000
```